(1)
Density functional theory data (PBE) for an optimized crystal structure of VGeAsBr.

The formation energy from raw total energies comes out at -0.069 eV/atom.

The space group is Cm (No. 8) and the conventional cell measures 8.644, 3.606 and 5.398 Å, with angles of 90.00, 100.56 and 90.00 degrees. The inequivalent atoms are V at (0.000, 0.000, 0.000), Ge at (0.437, 0.500, 0.476), As at (0.118, 0.500, 0.317) and Br at (0.275, 0.000, 0.885).

(2)
Density functional theory data (PBE) for an optimized crystal structure of BeAgI3.

The formation energy from raw total energies comes out at -0.351 eV/atom.

The space group is P2_1/m (No. 11) and the conventional cell measures 8.093, 4.123 and 11.154 Å, with angles of 90.00, 96.69 and 90.00 degrees. The inequivalent atoms are Be at (0.200, 0.250, 0.284), Ag at (0.320, 0.250, 0.872), I at (0.068, 0.750, 0.834), I at (0.236, 0.750, 0.410) and I at (0.413, 0.250, 0.144).

(3)
Density functional theory data (PBE) for an optimized crystal structure of BeHg2Ir.

As for the energy of formation: 581 meV per atom.

The space group is P4/mmm (No. 123) and the conventional cell measures 3.396, 3.396 and 5.806 Å, with angles of 90.00, 90.00 and 90.00 degrees. The inequivalent atoms are Be at (0.000, 0.000, 0.000), Hg at (0.500, 0.500, 0.237) and Ir at (0.000, 0.000, 0.500).

(4)
Density functional theory data (PBE) for an optimized crystal structure of MgMnH2N.

For the final energy, the calculation gives -23.69 eV for the cell shown.

The space group is P4/mmm (No. 123) and the conventional cell measures 3.256, 3.256 and 4.563 Å, with angles of 90.00, 90.00 and 90.00 degrees. The inequivalent atoms are Mg at (0.000, 0.000, 0.000), Mn at (0.500, 0.500, 0.500), H at (0.000, 0.500, 0.000) and N at (0.000, 0.000, 0.500).

(5)
Density functional theory data (PBE) for an optimized crystal structure of Sm5PuTe8.

The formation energy from raw total energies comes out at -1.357 eV/atom.

The space group is I-4 (No. 82) and the conventional cell measures 9.460, 9.460 and 9.424 Å, with angles of 90.00, 90.00 and 90.00 degrees. The inequivalent atoms are Sm at (0.000, 0.000, 0.000), Sm at (0.125, 0.750, 0.377), Pu at (0.000, 0.500, 0.750), Te at (0.075, 0.676, 0.052) and Te at (0.075, 0.825, 0.701).

(6)
Density functional theory data (PBE) for an optimized crystal structure of TbNbTc.

As for the energy of formation: 88 meV per atom.

The space group is Fmmm (No. 69) and the conventional cell measures 6.011, 8.541 and 9.931 Å, with angles of 90.00, 90.00 and 90.00 degrees. The inequivalent atoms are Tb at (0.000, 0.182, 0.000), Nb at (0.000, 0.000, 0.317) and Tc at (0.250, 0.250, 0.250).

(7)
Density functional theory data (PBE) for an optimized crystal structure of YTiCl3.

The formation energy from raw total energies comes out at -0.799 eV/atom.

The space group is Pm-3m (No. 221) and the conventional cell measures 5.319, 5.319 and 5.319 Å, with angles of 90.00, 90.00 and 90.00 degrees. The inequivalent atoms are Y at (0.000, 0.000, 0.000), Ti at (0.500, 0.500, 0.500) and Cl at (0.000, 0.000, 0.500).

(8)
Density functional theory data (PBE) for an optimized crystal structure of K2UTl3Te6.

The formation energy from raw total energies comes out at -0.554 eV/atom.

The space group is C2/m (No. 12) and the conventional cell measures 8.480, 14.857 and 8.022 Å, with angles of 90.00, 111.23 and 90.00 degrees. The inequivalent atoms are K at (0.000, 0.168, 0.000), U at (0.000, 0.500, 0.000), Tl at (0.000, 0.000, 0.500), Tl at (0.000, 0.343, 0.500), Te at (0.208, 0.500, 0.772) and Te at (0.219, 0.360, 0.228).